# 1
{"formula": "MnRhCl2", "functional": "PBE", "state": "relaxed", "lattice_angstrom": [[0.027, -7.895, 1.700], [2.721, -6.849, 3.302], [-0.255, -6.556, 4.708]], "species": ["Rh", "Mn", "Cl", "Cl"], "fractional_positions": [[0.000, 0.000, 0.000], [0.500, 0.500, 0.500], [0.901, 0.901, 0.901], [0.099, 0.099, 0.099]], "relative_energy_mev_per_atom": 208.3, "e_form_raw_mev_per_atom": -75, "space_group": "R-3m (166)"}

***

# 2
{"formula": "Mn2RhCl", "functional": "PBE", "state": "relaxed", "lattice_angstrom": [[5.049, -0.007, -0.002], [1.727, 4.744, 0.002], [-2.665, -3.402, 2.610]], "species": ["Mn", "Mn", "Cl", "Rh"], "fractional_positions": [[0.990, 0.990, 0.000], [0.510, 0.510, 0.000], [0.750, 0.250, 0.500], [0.250, 0.750, 0.500]], "relative_energy_mev_per_atom": 522.9, "e_form_raw_mev_per_atom": 381, "space_group": "Immm (71)"}

***

# 3
{"formula": "MnRhCl2", "functional": "PBE", "state": "relaxed", "lattice_angstrom": [[-2.431, 4.284, 2.116], [-4.742, -1.872, -1.658], [-4.141, -1.275, 4.617]], "species": ["Cl", "Rh", "Rh", "Mn", "Cl", "Cl", "Mn", "Cl"], "fractional_positions": [[0.160, 0.625, 0.250], [0.750, 0.250, 0.500], [0.000, 0.000, 0.000], [0.500, 0.500, 0.000], [0.590, 0.125, 0.250], [0.375, 0.410, 0.750], [0.250, 0.750, 0.500], [0.875, 0.840, 0.750]], "relative_energy_mev_per_atom": 750.0, "e_form_raw_mev_per_atom": 466, "space_group": "I-42d (122)"}

***

# 4
{"formula": "MnRhCl2", "functional": "PBE", "state": "relaxed", "lattice_angstrom": [[3.143, -0.016, 0.000], [-0.874, 3.019, 0.000], [0.000, 0.000, 8.294]], "species": ["Mn", "Cl", "Rh", "Cl"], "fractional_positions": [[0.000, 0.000, 0.521], [0.000, 0.000, 0.920], [0.500, 0.500, 0.724], [0.500, 0.500, 0.334]], "relative_energy_mev_per_atom": 129.0, "e_form_raw_mev_per_atom": -155, "space_group": "Cmm2 (35)"}

***

# 5
{"formula": "Mn2RhCl8", "functional": "PBE", "state": "relaxed", "lattice_angstrom": [[-2.497, 1.519, -5.369], [-0.375, -7.603, -2.083], [-6.159, -4.726, 1.420]], "species": ["Cl", "Cl", "Cl", "Rh", "Cl", "Cl", "Mn", "Cl", "Cl", "Cl", "Mn"], "fractional_positions": [[0.376, 0.308, 0.308], [0.624, 0.692, 0.692], [0.195, 0.852, 0.852], [0.000, 0.000, 0.000], [0.235, 0.288, 0.841], [0.235, 0.841, 0.288], [0.575, 0.848, 0.848], [0.765, 0.712, 0.159], [0.805, 0.148, 0.148], [0.765, 0.159, 0.712], [0.425, 0.152, 0.152]], "e_form_raw_mev_per_atom": -778, "space_group": "C2/m (12)"}

***

# 6
{"formula": "MnRhCl2", "functional": "PBE", "state": "relaxed", "lattice_angstrom": [[5.124, 0.014, -0.002], [0.890, 5.046, 0.002], [-1.881, -3.869, 2.784]], "species": ["Cl", "Rh", "Cl", "Mn"], "fractional_positions": [[0.995, 0.995, 0.000], [0.250, 0.750, 0.500], [0.505, 0.505, 0.000], [0.750, 0.250, 0.500]], "relative_energy_mev_per_atom": 365.8, "e_form_raw_mev_per_atom": 82, "space_group": "Immm (71)"}

***

# 7
{"formula": "MnRhCl2", "functional": "PBE", "state": "relaxed", "lattice_angstrom": [[-2.641, 4.049, 4.715], [-2.016, 1.336, 6.305], [3.776, 1.653, 1.336]], "species": ["Mn", "Cl", "Cl", "Rh"], "fractional_positions": [[0.250, 0.250, 0.250], [0.888, 0.888, 0.045], [0.612, 0.612, 0.455], [0.750, 0.750, 0.750]], "relative_energy_mev_per_atom": 20.0, "e_form_raw_mev_per_atom": -264, "space_group": "C2/m (12)"}

***

# 8
{"formula": "MnRhCl2", "functional": "PBE", "state": "relaxed", "lattice_angstrom": [[3.177, 0.000, 0.000], [0.000, 3.177, 0.000], [0.000, 0.000, 6.504]], "species": ["Mn", "Cl", "Rh", "Cl"], "fractional_positions": [[0.500, 0.500, 0.250], [0.000, 0.000, 0.487], [0.500, 0.500, 0.750], [0.000, 0.000, 0.013]], "relative_energy_mev_per_atom": 551.9, "e_form_raw_mev_per_atom": 268, "space_group": "P4/mmm (123)"}

***

# 9
{"formula": "Mn3RhCl8", "functional": "PBE", "state": "relaxed", "lattice_angstrom": [[-3.847, -4.918, 1.437], [5.032, 0.127, 3.965], [-3.759, 4.294, 4.634]], "species": ["Cl", "Cl", "Cl", "Mn", "Mn", "Cl", "Cl", "Cl", "Cl", "Cl", "Rh", "Mn"], "fractional_positions": [[0.262, 0.738, 0.000], [0.758, 0.728, 0.251], [0.272, 0.242, 0.749], [0.000, 0.500, 0.247], [0.500, 0.500, 0.000], [0.724, 0.276, 0.500], [0.728, 0.758, 0.749], [0.738, 0.262, 0.000], [0.276, 0.724, 0.500], [0.242, 0.272, 0.251], [0.500, 0.500, 0.500], [0.500, 0.000, 0.753]], "e_form_raw_mev_per_atom": -849, "space_group": "C222 (21)"}

***

# 10
{"formula": "MnRhCl2", "functional": "PBE", "state": "relaxed", "lattice_angstrom": [[0.000, 3.212, 3.212], [3.212, 0.000, 3.212], [3.212, 3.212, 0.000]], "species": ["Rh", "Cl", "Cl", "Mn"], "fractional_positions": [[0.500, 0.500, 0.500], [0.250, 0.250, 0.250], [0.750, 0.750, 0.750], [0.000, 0.000, 0.000]], "relative_energy_mev_per_atom": 482.1, "e_form_raw_mev_per_atom": 198, "space_group": "Fm-3m (225)"}

***

# 11
{"formula": "Mn2RhCl", "functional": "PBE", "state": "relaxed", "lattice_angstrom": [[4.508, 0.000, 0.000], [2.254, 3.904, 0.000], [2.254, 1.301, 3.681]], "species": ["Rh", "Mn", "Mn", "Cl"], "fractional_positions": [[0.750, 0.750, 0.750], [0.250, 0.250, 0.250], [0.000, 0.000, 0.000], [0.500, 0.500, 0.500]], "relative_energy_mev_per_atom": 719.1, "e_form_raw_mev_per_atom": 577, "space_group": "F-43m (216)"}

***

# 12
{"formula": "Mn2RhCl", "functional": "PBE", "state": "relaxed", "lattice_angstrom": [[6.616, 0.000, 0.000], [0.000, 6.616, 0.000], [3.308, 3.308, 3.312]], "species": ["Rh", "Mn", "Rh", "Mn", "Mn", "Cl", "Mn", "Cl"], "fractional_positions": [[0.750, 0.250, 0.500], [0.375, 0.382, 0.750], [0.000, 0.000, 0.000], [0.618, 0.125, 0.250], [0.875, 0.868, 0.750], [0.250, 0.750, 0.500], [0.132, 0.625, 0.250], [0.500, 0.500, 0.000]], "relative_energy_mev_per_atom": 569.4, "e_form_raw_mev_per_atom": 427, "space_group": "I-42d (122)"}

***

# 13
{"formula": "MnRh3Cl", "functional": "PBE", "state": "relaxed", "lattice_angstrom": [[-3.670, 2.600, -0.152], [-2.330, -3.159, 2.201], [1.165, 1.874, 3.922]], "species": ["Rh", "Rh", "Rh", "Mn", "Cl"], "fractional_positions": [[0.000, 0.500, 0.000], [0.000, 0.000, 0.500], [0.500, 0.000, 0.000], [0.000, 0.000, 0.000], [0.500, 0.500, 0.500]], "relative_energy_mev_per_atom": 0.0, "e_form_raw_mev_per_atom": 1144, "space_group": "Pm-3m (221)"}

***

# 14
{"formula": "MnRhCl2", "functional": "PBE", "state": "relaxed", "lattice_angstrom": [[3.351, 0.069, 0.000], [-1.836, 2.804, 0.000], [0.000, 0.000, 7.766]], "species": ["Cl", "Rh", "Cl", "Mn"], "fractional_positions": [[0.000, 0.000, 0.012], [0.500, 0.500, 0.750], [0.000, 0.000, 0.488], [0.500, 0.500, 0.250]], "relative_energy_mev_per_atom": 460.1, "e_form_raw_mev_per_atom": 176, "space_group": "Cmmm (65)"}

***

# 15
{"formula": "Mn2RhCl", "functional": "PBE", "state": "relaxed", "lattice_angstrom": [[-1.655, 2.348, 1.155], [-2.645, -1.359, -1.027], [-0.631, -3.477, 6.163]], "species": ["Rh", "Mn", "Cl", "Mn"], "fractional_positions": [[0.500, 0.250, 0.250], [0.000, 0.752, 0.039], [0.500, 0.750, 0.750], [0.000, 0.748, 0.461]], "relative_energy_mev_per_atom": 0.0, "e_form_raw_mev_per_atom": -142, "space_group": "P2/m (10)"}

***

# 16
{"formula": "MnRhCl2", "functional": "PBE", "state": "relaxed", "lattice_angstrom": [[-0.171, -3.775, 0.810], [4.328, -0.348, -0.712], [0.858, 0.877, 4.271]], "species": ["Cl", "Mn", "Rh", "Cl"], "fractional_positions": [[0.000, 0.507, 0.507], [0.500, 0.250, 0.250], [0.500, 0.750, 0.750], [0.000, 0.993, 0.993]], "relative_energy_mev_per_atom": 312.7, "e_form_raw_mev_per_atom": 29, "space_group": "P2/m (10)"}

***

# 17
{"formula": "Mn2RhCl", "functional": "PBE", "state": "relaxed", "lattice_angstrom": [[-1.695, 0.503, -2.540], [0.624, -2.867, -0.984], [-5.707, -2.388, 3.337]], "species": ["Mn", "Cl", "Rh", "Mn"], "fractional_positions": [[0.000, 0.000, 0.468], [0.500, 0.500, 0.750], [0.500, 0.500, 0.250], [0.000, 0.000, 0.032]], "relative_energy_mev_per_atom": 89.0, "e_form_raw_mev_per_atom": -53, "space_group": "P4/mmm (123)"}

***

# 18
{"formula": "Mn2RhCl", "functional": "PBE", "state": "relaxed", "lattice_angstrom": [[-2.494, -1.220, 1.111], [1.481, -0.764, 2.484], [-0.969, 5.713, 4.098]], "species": ["Mn", "Mn", "Rh", "Cl"], "fractional_positions": [[0.500, 0.309, 0.256], [0.000, 0.927, 0.016], [0.000, 0.716, 0.446], [0.500, 0.548, 0.783]], "relative_energy_mev_per_atom": 259.1, "e_form_raw_mev_per_atom": 117, "space_group": "Pm (6)"}

***

# 19
{"formula": "MnRhCl2", "functional": "PBE", "state": "relaxed", "lattice_angstrom": [[4.447, 0.019, 0.037], [-2.193, 4.411, 0.169], [0.061, 2.064, 3.932]], "species": ["Mn", "Cl", "Cl", "Rh"], "fractional_positions": [[0.000, 0.500, 0.500], [0.500, 0.000, 0.500], [0.000, 0.000, 0.000], [0.500, 0.500, 0.000]], "relative_energy_mev_per_atom": 300.4, "e_form_raw_mev_per_atom": 17, "space_group": "Fmmm (69)"}

***

# 20
{"formula": "Mn2RhCl", "functional": "PBE", "state": "relaxed", "lattice_angstrom": [[8.204, -0.117, -0.069], [7.718, 2.786, -0.069], [7.718, 1.293, 2.468]], "species": ["Cl", "Rh", "Mn", "Mn"], "fractional_positions": [[0.740, 0.740, 0.740], [0.508, 0.508, 0.508], [0.002, 0.002, 0.002], [0.250, 0.250, 0.250]], "relative_energy_mev_per_atom": 290.5, "e_form_raw_mev_per_atom": 148, "space_group": "R3m (160)"}